# Ba2LiAu

Ba2LiAu at its PBEsol-relaxed geometry (meta-GGA SCAN, the Alexandria database).

## Properties
- magnetic moment (μB/atom) = 0.0141
- space group = I-42d (122)
- energy relative to the lowest polymorph listed for this composition (meV per atom) = 257
- formation enthalpy at 0 K (meV per atom) = -206

a b c (Å): 7.4769 7.4769 7.4769
angles (deg): 105.07 105.07 118.68
Element x y z (fractional)
Ba1 0.0858 0.6250 0.9608
Ba2 0.3750 0.3358 0.4608
Ba3 0.6642 0.1250 0.0392
Ba4 0.8750 0.9142 0.5392
Li1 0.2500 0.7500 0.5000
Li2 0.5000 0.5000 0.0000
Au1 0.0000 0.0000 0.0000
Au2 0.7500 0.2500 0.5000